[1]
The following is a DFT calculation (PBE) of a relaxed Dy2YEr2Tm2Ni2Te2 crystal.

Unit cell a=3.829 b=15.521 c=9.515 alpha=90.00 beta=90.00 gamma=90.00
Space group Imm2 (No. 44)
One atom of each set of equivalent atoms:
Dy 0.000 0.132 0.000 [4 per cell]
Y 0.000 0.000 0.582 [2 per cell]
Er 0.000 0.353 0.850 [4 per cell]
Tm 0.000 0.315 0.201 [4 per cell]
Ni 0.000 0.238 0.510 [4 per cell]
Te 0.000 0.000 0.246 [2 per cell]
Te 0.000 0.500 0.346 [2 per cell]

Calculated values
- Electronic total energy: -5.339 eV/atom
- Excess energy over the best structure of this formula in the dataset: 0.051 kcal/mol of atoms

---

[2]
The following is a DFT calculation (PBE) of a relaxed Dy2YEr2Tm2Ni2Te2 crystal.

Unit cell a=3.830 b=15.528 c=9.515 alpha=90.00 beta=90.00 gamma=90.00
Space group Imm2 (No. 44)
One atom of each set of equivalent atoms:
Dy 0.000 0.132 0.000 [4 per cell]
Y 0.000 0.000 0.582 [2 per cell]
Er 0.000 0.315 0.201 [4 per cell]
Tm 0.000 0.353 0.851 [4 per cell]
Ni 0.000 0.238 0.510 [4 per cell]
Te 0.000 0.000 0.247 [2 per cell]
Te 0.000 0.500 0.346 [2 per cell]

Calculated values
- Electronic total energy: -5.335 eV/atom
- Excess energy over the best structure of this formula in the dataset: 0.125 kcal/mol of atoms

---

[3]
The following is a DFT calculation (PBE) of a relaxed Dy2YEr2Tm2Ni2Te2 crystal.

Unit cell a=3.838 b=15.534 c=9.507 alpha=90.00 beta=90.00 gamma=90.00
Space group Imm2 (No. 44)
One atom of each set of equivalent atoms:
Dy 0.000 0.147 0.000 [4 per cell]
Y 0.000 0.500 0.732 [2 per cell]
Er 0.000 0.367 0.149 [4 per cell]
Tm 0.000 0.185 0.351 [4 per cell]
Ni 0.000 0.261 0.660 [4 per cell]
Te 0.000 0.000 0.496 [2 per cell]
Te 0.000 0.500 0.394 [2 per cell]

Calculated values
- Electronic total energy: -5.341 eV/atom
- Excess energy over the best structure of this formula in the dataset: 0.000 kcal/mol of atoms

---

[4]
The following is a DFT calculation (PBE) of a relaxed Dy2YEr2Tm2Ni2Te2 crystal.

Unit cell a=3.839 b=15.536 c=9.483 alpha=90.00 beta=90.00 gamma=90.00
Space group Imm2 (No. 44)
One atom of each set of equivalent atoms:
Dy 0.000 0.148 0.000 [4 per cell]
Y 0.000 0.500 0.732 [2 per cell]
Er 0.000 0.185 0.352 [4 per cell]
Tm 0.000 0.367 0.148 [4 per cell]
Ni 0.000 0.261 0.660 [4 per cell]
Te 0.000 0.000 0.498 [2 per cell]
Te 0.000 0.500 0.393 [2 per cell]

Calculated values
- Electronic total energy: -5.338 eV/atom
- Excess energy over the best structure of this formula in the dataset: 0.066 kcal/mol of atoms

---

[5]
The following is a DFT calculation (PBE) of a relaxed Dy3Y2Er2Ni2Te2 crystal.

Unit cell a=3.844 b=15.586 c=9.563 alpha=90.00 beta=90.00 gamma=90.00
Space group Imm2 (No. 44)
One atom of each set of equivalent atoms:
Dy 0.000 0.000 0.000 [2 per cell]
Dy 0.000 0.354 0.268 [4 per cell]
Y 0.000 0.316 0.620 [4 per cell]
Er 0.000 0.132 0.418 [4 per cell]
Ni 0.000 0.239 0.928 [4 per cell]
Te 0.000 0.000 0.664 [2 per cell]
Te 0.000 0.500 0.764 [2 per cell]

Calculated values
- Electronic total energy: -5.518 eV/atom
- Excess energy over the best structure of this formula in the dataset: 0.224 kcal/mol of atoms

---

[6]
The following is a DFT calculation (PBE) of a relaxed Dy4YEr2Ni2Te2 crystal.

Unit cell a=3.840 b=15.631 c=9.544 alpha=90.00 beta=90.00 gamma=90.00
Space group Imm2 (No. 44)
One atom of each set of equivalent atoms:
Dy 0.000 0.132 0.000 [4 per cell]
Dy 0.000 0.315 0.202 [4 per cell]
Y 0.000 0.000 0.582 [2 per cell]
Er 0.000 0.353 0.852 [4 per cell]
Ni 0.000 0.238 0.509 [4 per cell]
Te 0.000 0.000 0.247 [2 per cell]
Te 0.000 0.500 0.346 [2 per cell]

Calculated values
- Electronic total energy: -5.354 eV/atom
- Excess energy over the best structure of this formula in the dataset: 0.144 kcal/mol of atoms

---

[7]
The following is a DFT calculation (PBE) of a relaxed Dy2YEr4Ni2Te2 crystal.

Unit cell a=3.833 b=15.560 c=9.508 alpha=90.00 beta=90.00 gamma=90.00
Space group Imm2 (No. 44)
One atom of each set of equivalent atoms:
Dy 0.000 0.132 0.000 [4 per cell]
Y 0.000 0.000 0.582 [2 per cell]
Er 0.000 0.315 0.202 [4 per cell]
Er 0.000 0.353 0.852 [4 per cell]
Ni 0.000 0.237 0.510 [4 per cell]
Te 0.000 0.000 0.247 [2 per cell]
Te 0.000 0.500 0.346 [2 per cell]

Calculated values
- Electronic total energy: -5.353 eV/atom
- Excess energy over the best structure of this formula in the dataset: 0.030 kcal/mol of atoms

---

[8]
The following is a DFT calculation (PBE) of a relaxed Dy4Y2ErNi2Te2 crystal.

Unit cell a=3.844 b=15.653 c=9.585 alpha=90.00 beta=90.00 gamma=90.00
Space group Imm2 (No. 44)
One atom of each set of equivalent atoms:
Dy 0.000 0.132 0.000 [4 per cell]
Dy 0.000 0.353 0.852 [4 per cell]
Y 0.000 0.316 0.202 [4 per cell]
Er 0.000 0.000 0.581 [2 per cell]
Ni 0.000 0.238 0.508 [4 per cell]
Te 0.000 0.000 0.247 [2 per cell]
Te 0.000 0.500 0.345 [2 per cell]

Calculated values
- Electronic total energy: -5.517 eV/atom
- Excess energy over the best structure of this formula in the dataset: 0.087 kcal/mol of atoms

---

> Which value of electronic total energy does entry 1 give?

-5.339 eV/atom

---

What did the second record say?
The following is a DFT calculation (PBE) of a relaxed Dy2YEr2Tm2Ni2Te2 crystal.

Unit cell a=3.830 b=15.528 c=9.515 alpha=90.00 beta=90.00 gamma=90.00
Space group Imm2 (No. 44)
One atom of each set of equivalent atoms:
Dy 0.000 0.132 0.000 [4 per cell]
Y 0.000 0.000 0.582 [2 per cell]
Er 0.000 0.315 0.201 [4 per cell]
Tm 0.000 0.353 0.851 [4 per cell]
Ni 0.000 0.238 0.510 [4 per cell]
Te 0.000 0.000 0.247 [2 per cell]
Te 0.000 0.500 0.346 [2 per cell]

Calculated values
- Electronic total energy: -5.335 eV/atom
- Excess energy over the best structure of this formula in the dataset: 0.125 kcal/mol of atoms